An optimized crystal structure of Sc3In. Source: Alexandria via LeMat-Bulk, functional PBEsol.

Cell: 6.3187 6.3187 5.1318 Å, 90.00 90.00 120.00°
Last column: nearest neighbours and their distance in Å.
Fractional positions:
Sc (0.1688, 0.3375, 0.2500)  8 Sc 3.12-3.20, 4 In 3.13-3.16
Sc (0.1688, 0.8312, 0.2500)  8 Sc 3.12-3.20, 4 In 3.13-3.16
Sc (0.3375, 0.1688, 0.7500)  8 Sc 3.12-3.20, 4 In 3.13-3.16
Sc (0.6625, 0.8312, 0.2500)  8 Sc 3.12-3.20, 4 In 3.13-3.16
Sc (0.8312, 0.1688, 0.7500)  8 Sc 3.12-3.20, 4 In 3.13-3.16
Sc (0.8312, 0.6625, 0.7500)  8 Sc 3.12-3.20, 4 In 3.13-3.16
In (0.3333, 0.6667, 0.7500)  12 Sc 3.13-3.16
In (0.6667, 0.3333, 0.2500)  12 Sc 3.13-3.16

---

An optimized crystal structure of Sc3In. Source: Alexandria via LeMat-Bulk, functional PBEsol.

Cell: 5.0284 6.1501 5.7425 Å, 90.00 90.00 90.00°
Last column: nearest neighbours and their distance in Å.
Fractional positions:
Sc (0.2500, 0.0042, 0.1487)  8 Sc 3.02-3.32, 4 In 3.13-3.34
Sc (0.2500, 0.2500, 0.6349)  4 In 3.04-3.08, 8 Sc 3.17-3.32
Sc (0.2500, 0.4958, 0.1487)  8 Sc 3.02-3.32, 4 In 3.13-3.34
Sc (0.7500, 0.5042, 0.8513)  8 Sc 3.02-3.32, 4 In 3.13-3.34
Sc (0.7500, 0.7500, 0.3651)  4 In 3.04-3.08, 8 Sc 3.17-3.32
Sc (0.7500, 0.9958, 0.8513)  8 Sc 3.02-3.32, 4 In 3.13-3.34
In (0.2500, 0.7500, 0.6617)  12 Sc 3.04-3.34
In (0.7500, 0.2500, 0.3383)  12 Sc 3.04-3.34

---

An optimized crystal structure of Sc5In3. Source: Alexandria via LeMat-Bulk, functional PBEsol.

Cell: 6.2203 6.2203 4.5645 Å, 90.00 90.00 94.79°
Last column: nearest neighbours and their distance in Å.
Fractional positions:
Sc (0.0000, 0.0000, 0.0000)  8 Sc 3.11-3.19, 4 In 3.11
Sc (0.0000, 0.5000, 0.0000)  6 In 3.11, 6 Sc 3.11-3.23
Sc (0.2641, 0.2641, 0.5000)  6 In 3.03-3.17, 6 Sc 3.19-3.23
Sc (0.5000, 0.0000, 0.0000)  6 In 3.11, 6 Sc 3.11-3.23
Sc (0.7359, 0.7359, 0.5000)  6 In 3.03-3.17, 6 Sc 3.19-3.23
In (0.2308, 0.7692, 0.5000)  10 Sc 3.07-3.17, 2 In 3.36
In (0.5000, 0.5000, 0.0000)  8 Sc 3.03-3.11, 4 In 3.36
In (0.7692, 0.2308, 0.5000)  10 Sc 3.07-3.17, 2 In 3.36

---

Let's list distance to the lowest polymorph of the same formula in order: 0; 28; 11 meV per atom.
Let's list E_form in order: -32; -29; -37 kJ/mol of atoms.